Ag5SnS4 | GGA-PBE | optimized geometry

Cell lengths 8.352, 8.352, 8.352 Å; angles 152.54, 127.42, 60.33 degrees
Positions (direct):
Ag1 0.000 0.000 0.000
Ag2 0.055 0.322 0.733
Ag3 0.411 0.678 0.733
Ag4 0.589 0.322 0.267
Ag5 0.945 0.678 0.267
Sn1 0.500 0.000 0.500
S1 0.235 0.500 0.735
S2 0.308 0.808 0.500
S3 0.692 0.192 0.500
S4 0.765 0.500 0.265

Computed properties:
**Size of the total moment**: 0.0 μB per formula unit
**Formation energy without anion corrections**: -65 meV/atom
**Total energy**: -3.54 eV per atom



LiTcHg2 | GGA-PBE | optimized geometry

Cell lengths 10.107, 10.107, 10.107 Å; angles 16.67, 16.67, 16.67 degrees
Positions (direct):
Li1 0.000 0.000 0.000
Tc1 0.741 0.741 0.741
Hg1 0.254 0.254 0.254
Hg2 0.487 0.487 0.487

Computed properties:
**Size of the total moment**: 0.0 μB per formula unit
**Energy relative to the elements**: 373.9 meV/atom
**Total energy**: -2.85 eV per atom



HfZrZn5 | GGA-PBE | optimized geometry

Cell lengths 4.523, 4.523, 6.256 Å; angles 90.00, 90.00, 90.00 degrees
Positions (direct):
Hf1 0.000 0.000 0.000
Zr1 0.500 0.500 0.500
Zn1 0.000 0.000 0.500
Zn2 0.000 0.500 0.236
Zn3 0.000 0.500 0.764
Zn4 0.500 0.000 0.236
Zn5 0.500 0.000 0.764

Computed properties:
**Size of the total moment**: 0.0 μB per formula unit
**Energy relative to the elements**: 68.1 meV/atom
**Total energy**: -3.48 eV per atom



HgCN2F | GGA-PBE | optimized geometry

Cell lengths 3.191, 3.191, 6.032 Å; angles 90.00, 90.00, 90.00 degrees
Positions (direct):
Hg1 0.000 0.000 0.000
C1 0.500 0.500 0.500
N1 0.000 0.500 0.500
N2 0.500 0.000 0.500
F1 0.500 0.500 0.000

Computed properties:
**Size of the total moment**: 0.0 μB per formula unit
**Formation energy without anion corrections**: 1532 meV/atom
**Total energy**: -4.08 eV per atom



Ac3TeOsBr | GGA-PBE | optimized geometry

Cell lengths 8.553, 4.525, 11.360 Å; angles 90.00, 95.35, 90.00 degrees
Positions (direct):
Ac1 0.035 0.250 0.205
Ac2 0.202 0.750 0.506
Ac3 0.381 0.250 0.800
Ac4 0.619 0.750 0.200
Ac5 0.798 0.250 0.494
Ac6 0.965 0.750 0.795
Te1 0.414 0.250 0.332
Te2 0.586 0.750 0.668
Os1 0.091 0.250 0.667
Os2 0.909 0.750 0.333
Br1 0.286 0.750 0.992
Br2 0.714 0.250 0.008

Computed properties:
**Size of the total moment**: 0.0 μB per formula unit
**Formation energy without anion corrections**: -961 meV/atom
**Total energy**: -5.69 eV per atom



AcLaDyMg | GGA-PBE | optimized geometry

Cell lengths 3.851, 3.851, 9.190 Å; angles 90.00, 90.00, 90.00 degrees
Positions (direct):
Ac1 0.000 0.000 0.000
La1 0.500 0.500 0.705
Dy1 0.500 0.500 0.277
Mg1 0.000 0.000 0.476

Computed properties:
**Size of the total moment**: 0.0 μB per formula unit
**Energy relative to the elements**: -25.2 meV/atom
**Total energy**: -3.83 eV per atom



NaAgSb2 | GGA-PBE | optimized geometry

Cell lengths 4.763, 4.451, 10.218 Å; angles 90.00, 96.14, 90.00 degrees
Positions (direct):
Na1 0.166 0.250 0.243
Na2 0.834 0.750 0.757
Ag1 0.308 0.250 0.688
Ag2 0.692 0.750 0.312
Sb1 0.248 0.750 0.499
Sb2 0.307 0.250 0.957
Sb3 0.693 0.750 0.043
Sb4 0.752 0.250 0.501

Computed properties:
**Size of the total moment**: 0.0 μB per formula unit
**Formation energy without anion corrections**: -150 meV/atom
**Total energy**: -3.25 eV per atom